[1]
BePb2Br, single point on PBEsol structure, DFT meta-GGA SCAN; formation energy (no corrections) = 0.190 eV per atom; spin magnetization = 0.00 μB/f.u.; polymorph energy (0 for the lowest one) = 0 meV/atom; volume = 23.85 Å³ per atom
1.0
-1.553 2.918 -0.701
-1.969 -1.624 -2.214
-5.563 -1.506 6.051
Pb Be Br
2 1 1
Direct
0.000 0.000 0.719
0.000 0.000 0.281
0.500 0.500 0.500
0.500 0.500 0.000

[2]
KNiP2S, single point on PBEsol structure, DFT meta-GGA SCAN; formation energy (no corrections) = 2.250 eV per atom; spin magnetization = 2.49 μB/f.u.; volume = 25.88 Å³ per atom
1.0
5.033 0.000 0.000
0.000 5.033 0.000
0.000 0.000 5.110
Ni S K P
1 1 1 2
Direct
0.500 0.500 0.500
0.000 0.000 0.500
0.000 0.000 0.000
0.000 0.500 0.000
0.500 0.000 0.000

[3]
ScTlCd2, single point on PBEsol structure, DFT meta-GGA SCAN; calculated formation energy = -0.68 eV per formula unit; spin magnetization = 0.02 μB/f.u.; polymorph energy (0 for the lowest one) = 28 meV/atom; volume = 22.41 Å³ per atom
1.0
3.408 0.000 0.000
0.000 5.279 0.087
0.000 -1.833 4.952
Cd Tl Sc
2 1 1
Direct
0.000 0.000 0.500
0.000 0.500 0.000
0.500 0.500 0.500
0.500 0.000 0.000

[4]
Cd2BiBr, single point on PBEsol structure, DFT meta-GGA SCAN; formation energy (no corrections) = -0.281 eV per atom; spin magnetization = 0.00 μB/f.u.; volume = 35.41 Å³ per atom
1.0
-1.445 -3.490 -5.193
5.705 1.453 -2.564
0.618 -4.535 6.846
Bi Cd Br
2 4 2
Direct
0.250 0.750 0.500
0.000 0.000 0.000
0.625 0.638 0.750
0.125 0.112 0.750
0.888 0.375 0.250
0.362 0.875 0.250
0.750 0.250 0.500
0.500 0.500 0.000

[5]
SiP, single point on PBEsol structure, DFT meta-GGA SCAN; formation energy (no corrections) = 0.068 eV per atom; spin magnetization = 0.00 μB/f.u.; volume = 16.53 Å³ per atom
1.0
-0.373 -1.454 3.238
0.546 -3.622 -1.563
4.583 0.388 0.702
P Si
2 2
Direct
0.000 0.454 0.750
0.000 0.546 0.250
0.500 0.090 0.750
0.500 0.910 0.250

[6]
NaSbSe2, single point on PBEsol structure, DFT meta-GGA SCAN; formation energy (no corrections) = -0.632 eV per atom; spin magnetization = 0.00 μB/f.u.; volume = 23.86 Å³ per atom
1.0
4.121 0.000 0.000
0.000 4.121 0.000
0.000 0.000 5.620
Se Na Sb
2 1 1
Direct
0.000 0.000 0.500
0.500 0.500 0.000
0.000 0.000 0.000
0.500 0.500 0.500

no.,DOS at the Fermi energy (states/eV per atom),E (Ry per atom)
1,0.3926,-3.209
2,1.4371,-0.642
3,0.6927,-2.721
4,0.3186,-2.940
5,0.2269,-0.745
6,0.1536,-1.546